# 1
# BeZnSnRu2 (PBE, relaxed)
data_BeZnSnRu2
_chemical_formula_sum 'Be1 Zn1 Sn1 Ru2'
_space_group_name_H-M_alt 'P 4/m m m'
_space_group_IT_number 123
_space_group_name_Hall '-P 4 2'
_cell_length_a 4.8791
_cell_length_b 4.8791
_cell_length_c 4.7318
_cell_angle_alpha 90.00
_cell_angle_beta 90.00
_cell_angle_gamma 90.00
loop_
_atom_site_label
_atom_site_fract_x
_atom_site_fract_y
_atom_site_fract_z
Be1 0.0000 0.0000 0.0000
Zn1 0.5000 0.5000 0.0000
Sn1 0.5000 0.5000 0.5000
Ru1 0.0000 0.5000 0.5000
# - Energy of formation: 1.785 eV per atom

# 2
# Zr2Be2SnRu5 (PBE, relaxed)
data_Zr2Be2SnRu5
_chemical_formula_sum 'Zr4 Be4 Sn2 Ru10'
_space_group_name_H-M_alt 'P 4/m b m'
_space_group_IT_number 127
_space_group_name_Hall '-P 4 2ab'
_cell_length_a 9.5329
_cell_length_b 9.5329
_cell_length_c 3.2561
_cell_angle_alpha 90.00
_cell_angle_beta 90.00
_cell_angle_gamma 90.00
loop_
_atom_site_label
_atom_site_fract_x
_atom_site_fract_y
_atom_site_fract_z
Zr1 0.1751 0.3249 0.0000
Be1 0.1217 0.6217 0.0000
Sn1 0.0000 0.0000 0.0000
Ru1 0.0000 0.5000 0.5000
Ru2 0.0709 0.7839 0.5000
# - Energy of formation: -0.427 eV per atom

# 3
# SrBeRu3 (PBE, relaxed)
data_SrBeRu3
_chemical_formula_sum 'Sr1 Be1 Ru3'
_space_group_name_H-M_alt 'P m -3 m'
_space_group_IT_number 221
_space_group_name_Hall '-P 4 2 3'
_cell_length_a 4.8900
_cell_length_b 4.8900
_cell_length_c 4.8900
_cell_angle_alpha 90.00
_cell_angle_beta 90.00
_cell_angle_gamma 90.00
loop_
_atom_site_label
_atom_site_fract_x
_atom_site_fract_y
_atom_site_fract_z
Sr1 0.0000 0.0000 0.0000
Be1 0.5000 0.5000 0.5000
Ru1 0.0000 0.0000 0.5000
# - Relative energy among the computed polymorphs: 11.508 eV per formula unit
# - Energy of formation: 2.892 eV per atom

# 4
# SrBe3Ru (PBE, relaxed)
data_SrBe3Ru
_chemical_formula_sum 'Sr1 Be3 Ru1'
_space_group_name_H-M_alt 'P m -3 m'
_space_group_IT_number 221
_space_group_name_Hall '-P 4 2 3'
_cell_length_a 4.3929
_cell_length_b 4.3929
_cell_length_c 4.3929
_cell_angle_alpha 90.00
_cell_angle_beta 90.00
_cell_angle_gamma 90.00
loop_
_atom_site_label
_atom_site_fract_x
_atom_site_fract_y
_atom_site_fract_z
Sr1 0.0000 0.0000 0.0000
Be1 0.0000 0.5000 0.5000
Ru1 0.5000 0.5000 0.5000
# - Relative energy among the computed polymorphs: 0.000 eV per formula unit
# - Energy of formation: 0.079 eV per atom